1.
An optimized crystal structure of K3LiB2S6, computed with GGA-PBE.

- symmetry = No. 164
- formation energy from raw total energies (eV per atom) = -0.769

abc: 6.637 6.637 8.757
angles: 90.00 90.00 120.00
Element x y z (fractional)
K1 0.333 0.667 0.647
K2 0.667 0.333 0.353
K3 0.000 0.000 0.000
Li1 0.000 0.000 0.500
B1 0.667 0.333 0.712
B2 0.333 0.667 0.288
S1 0.647 0.824 0.291
S2 0.176 0.353 0.291
S3 0.176 0.824 0.291
S4 0.824 0.647 0.709
S5 0.353 0.176 0.709
S6 0.824 0.176 0.709



2.
An optimized crystal structure of KLiBSb2, computed with GGA-PBE.

- symmetry = No. 123
- formation energy from raw total energies (eV per atom) = 0.697

abc: 5.157 4.626 5.157
angles: 90.00 90.00 90.00
Element x y z (fractional)
Sb1 0.000 0.000 0.500
Sb2 0.500 0.000 0.000
K1 0.500 0.500 0.500
B1 0.000 0.500 0.000
Li1 0.000 0.000 0.000



3.
An optimized crystal structure of KLiB2Se4, computed with GGA-PBE.

- symmetry = No. 23
- formation energy from raw total energies (eV per atom) = -0.464

abc: 6.132 7.015 7.015
angles: 78.02 64.08 64.08
Element x y z (fractional)
K1 0.000 0.000 0.000
Li1 0.500 0.500 0.500
B1 0.185 0.315 0.315
B2 0.815 0.685 0.685
Se1 0.417 0.173 0.443
Se2 0.032 0.827 0.557
Se3 0.968 0.443 0.173
Se4 0.583 0.557 0.827



4.
An optimized crystal structure of KSr2LiB, computed with GGA-PBE.

- symmetry = No. 123
- energy of formation (meV/atom) = 1191

abc: 6.199 6.199 5.753
angles: 90.00 90.00 90.00
Site moments in Bohr magnetons follow the coordinates.
Element x y z (fractional)
Sr1 0.000 0.500 0.000  0.02
Sr2 0.500 0.000 0.000  0.02
K1 0.000 0.000 0.500  0.00
B1 0.500 0.500 0.500  0.42
Li1 0.000 0.000 0.000  -0.02



5.
An optimized crystal structure of KSrLiB2, computed with GGA-PBE.

- symmetry = No. 123
- energy of formation (meV/atom) = 1809

abc: 5.175 6.080 5.175
angles: 90.00 90.00 90.00
Element x y z (fractional)
Sr1 0.000 0.000 0.000
K1 0.000 0.500 0.000
B1 0.000 0.000 0.500
B2 0.500 0.000 0.000
Li1 0.500 0.500 0.500



6.
An optimized crystal structure of KLiZrB2, computed with GGA-PBE.

- symmetry = No. 123
- energy of formation (meV/atom) = 1603

abc: 4.262 4.487 4.262
angles: 90.00 90.00 90.00
Site moments in Bohr magnetons follow the coordinates.
Element x y z (fractional)
K1 0.500 0.500 0.500  0.01
B1 0.000 0.000 0.500  -0.04
B2 0.500 0.000 0.000  -0.04
Zr1 0.000 0.500 0.000  0.52
Li1 0.000 0.000 0.000  0.11



7.
An optimized crystal structure of K3LuB2O6, computed with GGA-PBE.

- symmetry = No. 58
- formation energy from raw total energies (eV per atom) = -2.516

abc: 5.516 6.840 9.294
angles: 90.00 90.00 90.00
Element x y z (fractional)
K1 0.000 0.272 0.667
K2 0.000 0.728 0.333
K3 0.500 0.228 0.167
K4 0.500 0.772 0.833
K5 0.500 0.000 0.500
K6 0.000 0.500 0.000
Lu1 0.000 0.000 0.000
Lu2 0.500 0.500 0.500
B1 0.000 0.266 0.333
B2 0.000 0.734 0.667
B3 0.500 0.234 0.833
B4 0.500 0.766 0.167
O1 0.219 0.306 0.403
O2 0.781 0.694 0.597
O3 0.219 0.694 0.597
O4 0.281 0.194 0.903
O5 0.781 0.306 0.403
O6 0.719 0.806 0.097
O7 0.281 0.806 0.097
O8 0.719 0.194 0.903
O9 0.000 0.188 0.194
O10 0.000 0.812 0.806
O11 0.500 0.312 0.694
O12 0.500 0.688 0.306



8.
An optimized crystal structure of KMgB2, computed with GGA-PBE.

- symmetry = No. 141
- energy of formation (meV/atom) = 1209

abc: 4.162 4.162 8.842
angles: 76.39 76.39 90.00
Element x y z (fractional)
K1 0.000 0.000 0.000
K2 0.750 0.250 0.500
B1 0.375 0.125 0.250
B2 0.375 0.625 0.250
B3 0.375 0.625 0.750
B4 0.875 0.625 0.750
Mg1 0.500 0.500 0.000
Mg2 0.250 0.750 0.500



The records above yield Fermi-level density of states values of 6.58 2.37 0.00 3.41 4.51 2.77 0.00 1.27 states/eV/f.u., respectively.